Below is crystalline In3FeMo at its relaxed geometry, with properties calculated at the GGA-PBE level.

a = 5.248 Å, b = 5.248 Å, c = 5.248 Å
α = 90.00°, β = 90.00°, γ = 90.00°
Space group Pm-3m (No. 221)
One atom of each set of equivalent atoms:
In 0.000 0.000 0.500 x3
Fe 0.500 0.500 0.500 x1
Mo 0.000 0.000 0.000 x1

Computed properties:
The value obtained for the total magnetic moment is 0.90 μB per atom. For the electronic total energy, the calculation gives -4.34 eV/atom. The value obtained for the formation energy is 1.1594 eV/atom. The density of states at the Fermi level is 10.624 states/eV/f.u. As for the relative energy among the computed polymorphs: 0.268 eV/atom.